Record 1
Density functional theory data (SCAN) for a PBEsol-optimized structure of Dy4CdRh.

Values from the calculation:
The value obtained for the final energy is -259.0 eV per formula unit. Its density of states at the Fermi level is 0.647 states/eV per atom. As for the calculated formation energy: -598 meV/atom. Its mass density is 9.71 g cm⁻³.

Cell: 9.4261 9.4261 9.4261 Å, 60.00 60.00 60.00°
Fractional coordinates of all 24 atoms:
Dy  0.1002  0.1002  0.1002
Dy  0.5603  0.5603  0.9397
Dy  0.6868  0.3132  0.3132
Dy  0.9397  0.5603  0.5603
Dy  0.5603  0.9397  0.9397
Dy  0.1002  0.6995  0.1002
Dy  0.9397  0.9397  0.5603
Rh  0.8926  0.8926  0.3222
Dy  0.3132  0.3132  0.6868
Dy  0.1002  0.1002  0.6995
Dy  0.5603  0.9397  0.5603
Dy  0.9397  0.5603  0.9397
Rh  0.3222  0.8926  0.8926
Dy  0.3132  0.6868  0.6868
Cd  0.3308  0.3308  0.0077
Cd  0.3308  0.3308  0.3308
Cd  0.3308  0.0077  0.3308
Cd  0.0077  0.3308  0.3308
Dy  0.3132  0.6868  0.3132
Dy  0.6868  0.3132  0.6868
Rh  0.8926  0.8926  0.8926
Rh  0.8926  0.3222  0.8926
Dy  0.6995  0.1002  0.1002
Dy  0.6868  0.6868  0.3132

***

Record 2
Density functional theory data (SCAN) for a PBEsol-optimized structure of Dy2CdSe4.

Values from the calculation:
The value obtained for the final energy is -218.3 eV per formula unit. Its mass density is 6.40 g cm⁻³.

Cell: 8.2089 8.2089 8.2089 Å, 60.00 60.00 60.00°
Fractional coordinates of all 14 atoms:
Se  0.3943  0.8686  0.8686
Se  0.8686  0.8686  0.8686
Se  0.3814  0.3814  0.8557
Cd  0.2500  0.2500  0.2500
Dy  0.1250  0.6250  0.6250
Se  0.8686  0.3943  0.8686
Dy  0.6250  0.1250  0.6250
Se  0.8557  0.3814  0.3814
Se  0.8686  0.8686  0.3943
Se  0.3814  0.3814  0.3814
Cd  0.0000  0.0000  0.0000
Se  0.3814  0.8557  0.3814
Dy  0.6250  0.6250  0.6250
Dy  0.6250  0.6250  0.1250

***

Record 3
Density functional theory data (SCAN) for a PBEsol-optimized structure of Dy2CdTe4.

Values from the calculation:
The value obtained for the final energy is -283.6 eV per formula unit. Its density of states at the Fermi level is 0.030 states/eV per atom. Its mass density is 6.56 g cm⁻³.

Cell: 8.7873 8.7873 8.7873 Å, 60.00 60.00 60.00°
Fractional coordinates of all 14 atoms:
Te  0.3696  0.3696  0.8912
Dy  0.1250  0.1250  0.6250
Te  0.3588  0.8804  0.8804
Dy  0.6250  0.1250  0.1250
Te  0.8804  0.8804  0.8804
Te  0.3696  0.3696  0.3696
Te  0.8804  0.8804  0.3588
Dy  0.1250  0.1250  0.1250
Te  0.8804  0.3588  0.8804
Cd  0.7500  0.7500  0.7500
Cd  0.5000  0.5000  0.5000
Te  0.8912  0.3696  0.3696
Te  0.3696  0.8912  0.3696
Dy  0.1250  0.6250  0.1250

***

Record 4
Density functional theory data (SCAN) for a PBEsol-optimized structure of Dy2TlCd.

Values from the calculation:
The value obtained for the final energy is -200.4 eV per formula unit. Its density of states at the Fermi level is 0.794 states/eV per atom. As for the calculated formation energy: -500 meV/atom. Its mass density is 10.58 g cm⁻³.

Cell: 5.2224 5.2224 5.2224 Å, 60.00 60.00 60.00°
Each line ends with the local moment (μB).
Fractional coordinates of all 4 atoms:
Cd  0.5000  0.5000  0.5000  0.01
Dy  0.7500  0.7500  0.7500  0.14
Tl  0.0000  0.0000  0.0000  0.00
Dy  0.2500  0.2500  0.2500  0.14

***

Record 5
Density functional theory data (SCAN) for a PBEsol-optimized structure of DyYCd2.

Values from the calculation:
The value obtained for the final energy is -138.3 eV per formula unit. Its density of states at the Fermi level is 0.769 states/eV per atom. As for the calculated formation energy: -465 meV/atom. Its mass density is 7.94 g cm⁻³.

Cell: 5.2029 5.2029 5.2029 Å, 60.00 60.00 60.00°
Fractional coordinates of all 4 atoms:
Cd  0.7500  0.7500  0.7500
Dy  0.5000  0.5000  0.5000
Y  0.0000  0.0000  0.0000
Cd  0.2500  0.2500  0.2500

***

Record 6
Density functional theory data (SCAN) for a PBEsol-optimized structure of ErCd3.

Values from the calculation:
The value obtained for the final energy is -142.8 eV per formula unit. Its density of states at the Fermi level is 0.263 states/eV per atom. As for the calculated formation energy: -310 meV/atom. Its mass density is 9.80 g cm⁻³.

Cell: 4.9452 4.9452 4.9452 Å, 60.00 60.00 60.00°
Fractional coordinates of all 4 atoms:
Er  0.0000  0.0000  0.0000
Cd  0.2500  0.2500  0.2500
Cd  0.7500  0.7500  0.7500
Cd  0.5000  0.5000  0.5000

***

Record 7
Density functional theory data (SCAN) for a PBEsol-optimized structure of ErCd3.

Values from the calculation:
The value obtained for the final energy is -142.8 eV per formula unit. Its density of states at the Fermi level is 0.441 states/eV per atom. As for the calculated formation energy: -309 meV/atom. Its mass density is 9.41 g cm⁻³.

Cell: 4.6275 5.8828 7.1117 Å, 90.00 90.00 113.16°
Fractional coordinates of all 8 atoms:
Cd  0.7041  0.4083  0.2500
Er  0.4150  0.8300  0.2500
Er  0.5850  0.1700  0.7500
Cd  0.1242  0.2484  0.0493
Cd  0.2959  0.5917  0.7500
Cd  0.1242  0.2484  0.4507
Cd  0.8758  0.7516  0.9507
Cd  0.8758  0.7516  0.5493

***

Record 8
Density functional theory data (SCAN) for a PBEsol-optimized structure of ErCdGa.

Values from the calculation:
The value obtained for the final energy is -98.9 eV per formula unit. Its density of states at the Fermi level is 0.107 states/eV per atom. As for the calculated formation energy: -616 meV/atom. Its mass density is 9.33 g cm⁻³.

Cell: 4.3018 7.0765 7.0765 Å, 120.00 90.00 90.00°
Fractional coordinates of all 9 atoms:
Ga  0.0000  0.6667  0.3333
Er  0.5000  0.5751  0.0000
Er  0.5000  0.0000  0.5751
Cd  0.0000  0.0000  0.2492
Cd  0.0000  0.7508  0.7508
Cd  0.0000  0.2492  0.0000
Ga  0.0000  0.3333  0.6667
Er  0.5000  0.4249  0.4249
Ga  0.5000  0.0000  0.0000

***

Record 9
Density functional theory data (SCAN) for a PBEsol-optimized structure of Er2CdGe2.

Values from the calculation:
The value obtained for the final energy is -173.2 eV per formula unit. Its density of states at the Fermi level is 0.291 states/eV per atom. As for the calculated formation energy: -792 meV/atom. Its mass density is 9.41 g cm⁻³.

Cell: 4.0949 7.1444 7.1444 Å, 90.00 90.00 90.00°
Fractional coordinates of all 10 atoms:
Er  0.5000  0.3227  0.8227
Ge  0.0000  0.3770  0.1230
Ge  0.0000  0.8770  0.3770
Cd  0.0000  0.0000  0.0000
Ge  0.0000  0.1230  0.6230
Ge  0.0000  0.6230  0.8770
Er  0.5000  0.6773  0.1773
Cd  0.0000  0.5000  0.5000
Er  0.5000  0.8227  0.6773
Er  0.5000  0.1773  0.3227

***

Record 10
Density functional theory data (SCAN) for a PBEsol-optimized structure of Er2CdIn.

Values from the calculation:
The value obtained for the final energy is -166.6 eV per formula unit. Its density of states at the Fermi level is 0.734 states/eV per atom. As for the calculated formation energy: -525 meV/atom. Its mass density is 9.58 g cm⁻³.

Cell: 5.1632 5.1632 5.1632 Å, 60.00 60.00 60.00°
Fractional coordinates of all 4 atoms:
In  0.0000  0.0000  0.0000
Er  0.7500  0.7500  0.7500
Er  0.2500  0.2500  0.2500
Cd  0.5000  0.5000  0.5000

***

Record 11
Density functional theory data (SCAN) for a PBEsol-optimized structure of ErCdIn.

Values from the calculation:
The value obtained for the final energy is -115.6 eV per formula unit. Its density of states at the Fermi level is 0.225 states/eV per atom. As for the calculated formation energy: -503 meV/atom. Its mass density is 9.22 g cm⁻³.

Cell: 4.7543 4.7543 7.2574 Å, 90.00 90.00 120.00°
Fractional coordinates of all 6 atoms:
Er  0.0000  0.0000  0.2627
In  0.3333  0.6667  0.0543
Cd  0.3333  0.6667  0.4727
Cd  0.6667  0.3333  0.5273
Er  0.0000  0.0000  0.7373
In  0.6667  0.3333  0.9457

***

Record 12
Density functional theory data (SCAN) for a PBEsol-optimized structure of Er4CdNi.

Values from the calculation:
The value obtained for the final energy is -250.2 eV per formula unit. Its density of states at the Fermi level is 0.802 states/eV per atom. As for the calculated formation energy: -375 meV/atom. Its mass density is 9.89 g cm⁻³.

Cell: 9.2765 9.2765 9.2765 Å, 60.00 60.00 60.00°
Fractional coordinates of all 24 atoms:
Er  0.3136  0.3136  0.6864
Er  0.9012  0.2964  0.9012
Ni  0.1074  0.6778  0.1074
Er  0.4389  0.0611  0.4389
Cd  0.6690  0.6690  0.6690
Er  0.0611  0.0611  0.4389
Ni  0.6778  0.1074  0.1074
Er  0.0611  0.4389  0.4389
Er  0.6864  0.6864  0.3136
Er  0.9012  0.9012  0.9012
Er  0.4389  0.0611  0.0611
Er  0.6864  0.3136  0.3136
Ni  0.1074  0.1074  0.6778
Er  0.3136  0.6864  0.6864
Cd  0.9931  0.6690  0.6690
Er  0.3136  0.6864  0.3136
Er  0.9012  0.9012  0.2964
Er  0.2964  0.9012  0.9012
Cd  0.6690  0.9931  0.6690
Ni  0.1074  0.1074  0.1074
Cd  0.6690  0.6690  0.9931
Er  0.0611  0.4389  0.0611
Er  0.6864  0.3136  0.6864
Er  0.4389  0.4389  0.0611